Compound: CeTmRh
Source: Alexandria
Functional: PBE
Structure: optimized geometry

Calculated values
**D(E_F)**: 6.343 states/eV/cell
**Crystal system**: trigonal
**Energy of formation from the pure elements**: -0.340 eV/atom

abc: 4.022 4.553 4.553
angles: 120.00 90.00 90.00
Each line ends with the local moment (μB).
Atoms (fractional coordinates):
Tm 0.735 0.667 0.333  0.05
Rh 0.984 0.000 0.000  -0.04
Ce 0.281 0.333 0.667  0.53

=====

Compound: Ce2TmRh
Source: Alexandria
Functional: PBE
Structure: optimized geometry

Calculated values
**D(E_F)**: 9.173 states/eV/cell
**Crystal system**: trigonal
**Energy of formation from the pure elements**: -0.236 eV/atom

abc: 3.728 3.728 9.368
angles: 78.52 78.52 60.00
Each line ends with the local moment (μB).
Atoms (fractional coordinates):
Tm 0.500 0.500 0.500  -0.02
Rh 0.000 0.000 0.000  -0.04
Ce 0.268 0.268 0.195  0.38
Ce 0.732 0.732 0.805  0.38

=====

Compound: CeURh4
Source: Alexandria
Functional: PBE
Structure: optimized geometry

Calculated values
**D(E_F)**: 8.097 states/eV/cell
**Crystal system**: cubic
**Energy of formation from the pure elements**: -0.572 eV/atom

abc: 5.321 5.321 5.321
angles: 60.00 60.00 60.00
Each line ends with the local moment (μB).
Atoms (fractional coordinates):
Rh 0.625 0.625 0.126  -0.14
Rh 0.625 0.126 0.625  -0.14
Rh 0.625 0.625 0.625  -0.14
Rh 0.126 0.625 0.625  -0.14
U 0.250 0.250 0.250  1.94
Ce 0.000 0.000 0.000  0.44

=====

Compound: CeURh4
Source: Alexandria
Functional: PBE
Structure: optimized geometry

Calculated values
**D(E_F)**: 8.446 states/eV/cell
**Crystal system**: orthorhombic
**Energy of formation from the pure elements**: -0.568 eV/atom

abc: 3.858 6.964 8.185
angles: 90.00 90.00 90.00
Atoms (fractional coordinates):
Ce 0.000 0.670 0.750
Ce 0.000 0.330 0.250
U 0.000 0.246 0.750
U 0.000 0.754 0.250
Rh 0.000 0.000 0.500
Rh 0.000 0.000 0.000
Rh 0.500 0.952 0.750
Rh 0.500 0.048 0.250
Rh 0.500 0.687 0.037
Rh 0.500 0.313 0.963
Rh 0.500 0.687 0.463
Rh 0.500 0.313 0.537

=====

Compound: CeURh
Source: Alexandria
Functional: PBE
Structure: optimized geometry

Calculated values
**D(E_F)**: 11.319 states/eV/cell
**Crystal system**: orthorhombic
**Energy of formation from the pure elements**: -0.254 eV/atom

abc: 3.848 3.774 9.031
angles: 77.94 90.00 90.00
Each line ends with the local moment (μB).
Atoms (fractional coordinates):
Ce 0.250 0.923 0.154  0.05
Ce 0.750 0.077 0.846  0.05
U 0.250 0.251 0.497  1.04
U 0.750 0.749 0.503  1.04
Rh 0.250 0.603 0.795  0.01
Rh 0.750 0.397 0.205  0.01

=====

Compound: CeURh4
Source: Alexandria
Functional: PBE
Structure: optimized geometry

Calculated values
**D(E_F)**: 22.816 states/eV/cell
**Crystal system**: orthorhombic
**Energy of formation from the pure elements**: -0.629 eV/atom

abc: 4.331 7.396 13.593
angles: 90.00 90.00 90.00
Atoms (fractional coordinates):
Ce 0.750 0.250 0.454
Ce 0.250 0.750 0.546
Ce 0.250 0.250 0.954
Ce 0.750 0.750 0.046
U 0.750 0.750 0.767
U 0.250 0.250 0.233
U 0.250 0.750 0.267
U 0.750 0.250 0.733
Rh 0.750 0.975 0.609
Rh 0.250 0.025 0.391
Rh 0.250 0.525 0.109
Rh 0.750 0.475 0.891
Rh 0.750 0.750 0.414
Rh 0.250 0.250 0.586
Rh 0.250 0.750 0.914
Rh 0.750 0.250 0.086
Rh 0.750 0.025 0.891
Rh 0.250 0.975 0.109
Rh 0.250 0.475 0.391
Rh 0.750 0.525 0.609
Rh 0.750 0.000 0.250
Rh 0.250 0.000 0.750
Rh 0.250 0.500 0.750
Rh 0.750 0.500 0.250

=====

Compound: CeUZnRh
Source: Alexandria
Functional: PBE
Structure: optimized geometry

Calculated values
**D(E_F)**: 10.942 states/eV/cell
**Crystal system**: cubic
**Energy of formation from the pure elements**: -0.275 eV/atom

abc: 4.765 4.765 4.765
angles: 60.00 60.00 60.00
Each line ends with the local moment (μB).
Atoms (fractional coordinates):
Rh 0.750 0.750 0.750  -0.12
Zn 0.500 0.500 0.500  -0.02
U 0.000 0.000 0.000  2.15
Ce 0.250 0.250 0.250  0.85

=====

Compound: Ce3VRh12
Source: Alexandria
Functional: PBE
Structure: optimized geometry

Calculated values
**D(E_F)**: 15.750 states/eV/cell
**Crystal system**: tetragonal
**Energy of formation from the pure elements**: -0.553 eV/atom

abc: 3.995 3.995 16.075
angles: 90.00 90.00 90.00
Atoms (fractional coordinates):
Ce 0.000 0.000 0.244
Ce 0.000 0.000 0.500
Ce 0.000 0.000 0.756
V 0.000 0.000 0.000
Rh 0.500 0.500 0.000
Rh 0.500 0.500 0.241
Rh 0.500 0.500 0.500
Rh 0.500 0.500 0.759
Rh 0.500 0.000 0.110
Rh 0.500 0.000 0.371
Rh 0.500 0.000 0.629
Rh 0.500 0.000 0.890
Rh 0.000 0.500 0.110
Rh 0.000 0.500 0.371
Rh 0.000 0.500 0.629
Rh 0.000 0.500 0.890

=====

Compound: CeVRh
Source: Alexandria
Functional: PBE
Structure: optimized geometry

Calculated values
**D(E_F)**: 11.432 states/eV/cell
**Crystal system**: orthorhombic
**Energy of formation from the pure elements**: 0.018 eV/atom

abc: 4.328 3.461 8.362
angles: 78.06 90.00 90.00
Atoms (fractional coordinates):
Ce 0.750 0.662 0.675
Ce 0.250 0.338 0.325
V 0.500 0.000 0.000
V 0.000 0.000 0.000
Rh 0.750 0.849 0.301
Rh 0.250 0.151 0.699

=====

Compound: CeVRh
Source: Alexandria
Functional: PBE
Structure: optimized geometry

Calculated values
**D(E_F)**: 4.435 states/eV/cell
**Crystal system**: tetragonal
**Energy of formation from the pure elements**: -0.217 eV/atom

abc: 3.016 3.016 6.308
angles: 103.83 103.83 90.00
Atoms (fractional coordinates):
Rh 0.304 0.304 0.609
Ce 0.003 0.003 0.007
V 0.692 0.692 0.385

=====

Compound: CeVRh2
Source: Alexandria
Functional: PBE
Structure: optimized geometry

Calculated values
**D(E_F)**: 7.373 states/eV/cell
**Crystal system**: trigonal
**Energy of formation from the pure elements**: -0.042 eV/atom

abc: 2.909 2.909 9.232
angles: 80.93 80.93 60.00
Atoms (fractional coordinates):
Rh 0.594 0.594 0.218
Rh 0.406 0.406 0.782
Ce 0.500 0.500 0.500
V 0.000 0.000 0.000

=====

Compound: Ce2YRh9
Source: Alexandria
Functional: PBE
Structure: optimized geometry

Calculated values
**D(E_F)**: 10.835 states/eV/cell
**Crystal system**: trigonal
**Energy of formation from the pure elements**: -0.558 eV/atom

abc: 5.256 5.256 9.357
angles: 73.69 73.69 60.00
Atoms (fractional coordinates):
Ce 0.861 0.861 0.416
Ce 0.139 0.139 0.584
Y 0.000 0.000 0.000
Rh 0.667 0.667 0.999
Rh 0.333 0.333 0.001
Rh 0.500 0.500 0.500
Rh 0.416 0.416 0.248
Rh 0.919 0.416 0.248
Rh 0.416 0.919 0.248
Rh 0.584 0.584 0.752
Rh 0.584 0.081 0.752
Rh 0.081 0.584 0.752

=====

Compound: CeY3Rh8
Source: Alexandria
Functional: PBE
Structure: optimized geometry

Calculated values
**D(E_F)**: 9.311 states/eV/cell
**Crystal system**: trigonal
**Energy of formation from the pure elements**: -0.721 eV/atom

abc: 5.353 5.353 9.262
angles: 73.20 73.20 60.00
Each line ends with the local moment (μB).
Atoms (fractional coordinates):
Ce 0.876 0.876 0.373  0.20
Y 0.375 0.375 0.876  0.00
Y 0.001 0.001 0.998  0.01
Y 0.499 0.499 0.502  0.01
Rh 0.936 0.438 0.188  -0.01
Rh 0.438 0.937 0.687  0.00
Rh 0.438 0.438 0.188  -0.01
Rh 0.937 0.937 0.687  0.00
Rh 0.187 0.187 0.438  -0.01
Rh 0.688 0.688 0.937  -0.01
Rh 0.438 0.936 0.188  -0.01
Rh 0.937 0.438 0.687  0.00

=====

Compound: CeYRh2
Source: Alexandria
Functional: PBE
Structure: optimized geometry

Calculated values
**D(E_F)**: 3.453 states/eV/cell
**Crystal system**: tetragonal
**Energy of formation from the pure elements**: -0.760 eV/atom

abc: 3.453 3.453 6.976
angles: 90.00 90.00 90.00
Each line ends with the local moment (μB).
Atoms (fractional coordinates):
Y 0.500 0.500 0.000  0.00
Rh 0.000 0.000 0.741  -0.02
Rh 0.000 0.000 0.259  -0.02
Ce 0.500 0.500 0.500  0.12

=====

Compound: CeYRh2
Source: Alexandria
Functional: PBE
Structure: optimized geometry

Calculated values
**D(E_F)**: 4.000 states/eV/cell
**Crystal system**: orthorhombic
**Energy of formation from the pure elements**: -0.799 eV/atom

abc: 3.789 4.272 5.639
angles: 90.00 109.69 90.00
Atoms (fractional coordinates):
Ce 0.725 0.000 0.989
Y 0.445 0.500 0.430
Rh 0.174 0.500 0.886
Rh 0.987 0.000 0.514

=====

Compound: CeY2Rh2
Source: Alexandria
Functional: PBE
Structure: optimized geometry

Calculated values
**D(E_F)**: 13.022 states/eV/cell
**Crystal system**: monoclinic
**Energy of formation from the pure elements**: -0.685 eV/atom

abc: 6.448 6.448 7.297
angles: 80.56 80.56 54.94
Atoms (fractional coordinates):
Ce 0.087 0.913 0.250
Ce 0.913 0.087 0.750
Y 0.448 0.231 0.152
Y 0.769 0.552 0.348
Y 0.552 0.769 0.848
Y 0.231 0.448 0.652
Rh 0.735 0.953 0.522
Rh 0.047 0.265 0.978
Rh 0.265 0.047 0.478
Rh 0.953 0.735 0.022

=====

Compound: CeY3Rh4
Source: Alexandria
Functional: PBE
Structure: optimized geometry

Calculated values
**D(E_F)**: 6.693 states/eV/cell
**Crystal system**: trigonal
**Energy of formation from the pure elements**: -0.799 eV/atom

abc: 4.898 4.898 8.409
angles: 73.07 73.07 60.00
Each line ends with the local moment (μB).
Atoms (fractional coordinates):
Y 0.248 0.248 0.256  0.00
Y 0.752 0.752 0.744  0.00
Y 0.500 0.500 0.500  0.00
Rh 0.878 0.878 0.365  -0.01
Rh 0.373 0.373 0.880  -0.01
Rh 0.122 0.122 0.635  -0.01
Rh 0.627 0.627 0.120  -0.01
Ce 0.000 0.000 0.000  0.21

=====

Compound: CeY3Rh2
Source: Alexandria
Functional: PBE
Structure: optimized geometry

Calculated values
**D(E_F)**: 19.752 states/eV/cell
**Crystal system**: orthorhombic
**Energy of formation from the pure elements**: -0.535 eV/atom

abc: 6.817 7.104 8.384
angles: 115.07 113.99 90.00
Each line ends with the local moment (μB).
Atoms (fractional coordinates):
Ce 0.000 0.500 0.000  0.47
Ce 0.000 0.000 0.000  0.47
Y 0.500 0.250 0.000  0.02
Y 0.500 0.750 0.000  0.02
Y 0.757 0.007 0.515  0.02
Y 0.243 0.493 0.485  0.02
Y 0.243 0.993 0.485  0.02
Y 0.757 0.507 0.515  0.02
Rh 0.605 0.370 0.741  -0.01
Rh 0.864 0.130 0.259  -0.01
Rh 0.136 0.870 0.741  -0.01
Rh 0.395 0.630 0.259  -0.01

=====

Compound: CeY2Rh4
Source: Alexandria
Functional: PBE
Structure: optimized geometry

Calculated values
**D(E_F)**: 2.584 states/eV/cell
**Crystal system**: tetragonal
**Energy of formation from the pure elements**: -0.543 eV/atom

abc: 4.922 4.922 6.981
angles: 110.64 110.64 90.00
Atoms (fractional coordinates):
Ce 0.000 0.000 0.000
Y 0.719 0.719 0.437
Y 0.281 0.281 0.563
Rh 0.381 0.881 0.762
Rh 0.881 0.381 0.762
Rh 0.619 0.119 0.238
Rh 0.119 0.619 0.238

=====

Compound: Ce2YRh3
Source: Alexandria
Functional: PBE
Structure: optimized geometry

Calculated values
**D(E_F)**: 11.515 states/eV/cell
**Crystal system**: monoclinic
**Energy of formation from the pure elements**: -0.678 eV/atom

abc: 5.721 7.859 6.963
angles: 106.34 114.26 90.00
Atoms (fractional coordinates):
Ce 0.683 0.583 0.332
Ce 0.649 0.083 0.332
Ce 0.351 0.917 0.668
Ce 0.317 0.417 0.668
Y 0.959 0.750 0.000
Y 0.041 0.250 0.000
Rh 0.541 0.250 0.000
Rh 0.459 0.750 0.000
Rh 0.156 0.089 0.348
Rh 0.808 0.411 0.652
Rh 0.192 0.589 0.348
Rh 0.844 0.911 0.652